(1)
VASP calculation (PBE-GGA) on a relaxed ErCuHgPd crystal.

Its crystal system is cubic. The formation energy is -0.43 eV per atom. The space group is F-43m, No. 216.

a = 4.7412 Å, b = 4.7412 Å, c = 4.7412 Å
α = 60.00°, β = 60.00°, γ = 60.00°
Positions (direct):
Cu 0.2500 0.2500 0.2500
Er 0.0000 0.0000 0.0000
Hg 0.5000 0.5000 0.5000
Pd 0.7500 0.7500 0.7500

(2)
VASP calculation (PBE-GGA) on a relaxed CaEuH crystal.

The value obtained for the excess energy over the best structure of this formula in the dataset is 3.42 kcal/mol of atoms. Its crystal system is tetragonal. The space group is I4mm, No. 107.

a = 3.4695 Å, b = 3.4695 Å, c = 7.0757 Å
α = 104.19°, β = 104.19°, γ = 90.00°
Each line ends with the local moment (μB).
Positions (direct):
Eu 0.0314 0.0314 0.0629  7.12
H 0.2157 0.2157 0.4313  0.00
Ca 0.7529 0.7529 0.5058  0.09

(3)
VASP calculation (PBE-GGA) on a relaxed NbV2SbPb crystal.

Its crystal system is tetragonal. The space group is P4/mmm, No. 123. The uncorrected formation energy is 36.11 kcal/mol of atoms.

a = 5.0852 Å, b = 5.3413 Å, c = 5.0852 Å
α = 90.00°, β = 90.00°, γ = 90.00°
Each line ends with the local moment (μB).
Positions (direct):
Nb 0.0000 0.5000 0.0000  1.70
V 0.0000 0.0000 0.5000  2.76
V 0.5000 0.0000 0.0000  2.45
Pb 0.0000 0.0000 0.0000  -0.07
Sb 0.5000 0.5000 0.5000  -0.17

| no. | V (A^3/atom) | raw total energy (eV per atom) |
| --- | --- | --- |
| 1 | 18.840 | -3.970 |
| 2 | 26.630 | -5.257 |
| 3 | 27.624 | -5.662 |